Record 1
! Tc2HRhPb (GGA-PBE, relaxed); values from VASP
! E_tot ... -5.20 eV per atom
! Fermi-level density of states ... 5.752 states/eV per cell
&SYSTEM
  ibrav = 0, nat = 5, ntyp = 4
/
ATOMIC_SPECIES
Pb 207.20 Pb.upf
H 1.01 H.upf
Rh 102.91 Rh.upf
Tc 98.00 Tc.upf
CELL_PARAMETERS angstrom
5.1539 0.0000 0.0000
0.0000 3.2868 0.0000
0.0000 0.0000 5.1539
ATOMIC_POSITIONS crystal
Pb 0.0000 0.0000 0.0000
H 0.0000 0.5000 0.0000
Rh 0.5000 0.5000 0.5000
Tc 0.0000 0.0000 0.5000
Tc 0.5000 0.0000 0.0000

Record 2
! Ti2HRhPb (GGA-PBE, relaxed); values from VASP
! E_tot ... -6.34 eV per atom
! Fermi-level density of states ... 4.935 states/eV per cell
&SYSTEM
  ibrav = 0, nat = 5, ntyp = 4
/
ATOMIC_SPECIES
Pb 207.20 Pb.upf
H 1.01 H.upf
Rh 102.91 Rh.upf
Ti 47.87 Ti.upf
CELL_PARAMETERS angstrom
-0.7580 -3.3369 2.3922
-1.3658 -2.0891 -3.3470
3.7939 -1.3622 -0.6979
ATOMIC_POSITIONS crystal
Pb 0.5000 0.5000 0.5000
H 0.0000 0.0000 0.0000
Rh 0.0000 0.0000 0.5000
Ti 0.0000 0.5000 0.0000
Ti 0.5000 0.0000 0.0000

Record 3
! TiHRh2Pb (GGA-PBE, relaxed); values from VASP
! E_tot ... -6.16 eV per atom
! Fermi-level density of states ... 4.309 states/eV per cell
&SYSTEM
  ibrav = 0, nat = 5, ntyp = 4
/
ATOMIC_SPECIES
Pb 207.20 Pb.upf
H 1.01 H.upf
Rh 102.91 Rh.upf
Ti 47.87 Ti.upf
CELL_PARAMETERS angstrom
-0.4745 -1.2837 -3.8785
4.0619 -0.5667 -0.3093
-0.4351 -3.8417 1.3247
ATOMIC_POSITIONS crystal
Pb 0.5000 0.5000 0.5000
H 0.0000 0.0000 0.0000
Rh 0.0000 0.5000 0.0000
Rh 0.5000 0.0000 0.0000
Ti 0.0000 0.0000 0.5000

Record 4
! TlH8Rh2Pb (GGA-PBE, relaxed); values from VASP
! E_tot ... -3.79 eV per atom
! Fermi-level density of states ... 2.246 states/eV per cell
&SYSTEM
  ibrav = 0, nat = 12, ntyp = 4
/
ATOMIC_SPECIES
Tl 204.38 Tl.upf
H 1.01 H.upf
Rh 102.91 Rh.upf
Pb 207.20 Pb.upf
CELL_PARAMETERS angstrom
-1.3069 3.1784 -3.8817
-4.9715 1.2616 -0.7553
-1.4679 6.0634 1.9970
ATOMIC_POSITIONS crystal
Tl 0.0000 0.0000 0.0000
H 0.2089 0.2089 0.3733
H 0.4703 0.4707 0.1515
H 0.7911 0.7911 0.6267
H 0.9075 0.4703 0.1515
H 0.0925 0.5297 0.8485
H 0.4707 0.9075 0.1515
H 0.5293 0.0925 0.8485
H 0.5297 0.5293 0.8485
Rh 0.3044 0.3044 0.0868
Rh 0.6956 0.6956 0.9132
Pb 0.5000 0.5000 0.5000

Record 5
! TlHRhPb2 (GGA-PBE, relaxed); values from VASP
! E_tot ... -3.97 eV per atom
! Fermi-level density of states ... 3.587 states/eV per cell
&SYSTEM
  ibrav = 0, nat = 5, ntyp = 4
/
ATOMIC_SPECIES
Pb 207.20 Pb.upf
H 1.01 H.upf
Tl 204.38 Tl.upf
Rh 102.91 Rh.upf
CELL_PARAMETERS angstrom
5.5942 0.0000 0.0000
0.0000 5.5942 0.0000
0.0000 0.0000 3.4842
ATOMIC_POSITIONS crystal
Pb 0.0000 0.5000 0.0000
Pb 0.5000 0.0000 0.0000
H 0.0000 0.0000 0.5000
Tl 0.5000 0.5000 0.5000
Rh 0.0000 0.0000 0.0000

Record 6
! TmH8Rh2Pb (GGA-PBE, relaxed); values from VASP
! E_tot ... -4.15 eV per atom
! Fermi-level density of states ... 2.960 states/eV per cell
&SYSTEM
  ibrav = 0, nat = 12, ntyp = 4
/
ATOMIC_SPECIES
Tm 168.93 Tm.upf
H 1.01 H.upf
Rh 102.91 Rh.upf
Pb 207.20 Pb.upf
CELL_PARAMETERS angstrom
-0.5050 3.4869 -2.1078
-0.3940 -0.1094 -4.0852
-8.8158 0.4008 -1.2236
ATOMIC_POSITIONS crystal
Tm 0.0000 0.0000 0.0000
H 0.1884 0.1884 0.4347
H 0.4782 0.4782 0.1289
H 0.8116 0.8116 0.5653
H 0.9147 0.4782 0.1289
H 0.0853 0.5218 0.8711
H 0.4782 0.9147 0.1289
H 0.5218 0.0853 0.8711
H 0.5218 0.5218 0.8711
Rh 0.2552 0.2552 0.2345
Rh 0.7448 0.7448 0.7655
Pb 0.5000 0.5000 0.5000

Record 7
! H2RhPbW (GGA-PBE, relaxed); values from VASP
! E_tot ... -5.04 eV per atom
! Fermi-level density of states ... 3.007 states/eV per cell
&SYSTEM
  ibrav = 0, nat = 5, ntyp = 4
/
ATOMIC_SPECIES
Pb 207.20 Pb.upf
H 1.01 H.upf
Rh 102.91 Rh.upf
W 183.84 W.upf
CELL_PARAMETERS angstrom
-0.9375 -3.4480 -0.7895
5.7757 -1.5105 -0.2617
-0.0485 -0.8041 3.5696
ATOMIC_POSITIONS crystal
Pb 0.0000 0.0000 0.0000
H 0.0000 0.0000 0.5000
H 0.5000 0.0000 0.0000
Rh 0.5000 0.5000 0.5000
W 0.0000 0.5000 0.0000

Record 8
! Y2HRhPb (GGA-PBE, relaxed); values from VASP
! E_tot ... -6.03 eV per atom
! Fermi-level density of states ... 2.365 states/eV per cell
&SYSTEM
  ibrav = 0, nat = 5, ntyp = 4
/
ATOMIC_SPECIES
Pb 207.20 Pb.upf
Y 88.91 Y.upf
Rh 102.91 Rh.upf
H 1.01 H.upf
CELL_PARAMETERS angstrom
5.0091 0.0000 0.0000
0.0000 5.0091 0.0000
0.0000 0.0000 3.9045
ATOMIC_POSITIONS crystal
Pb 0.5000 0.5000 0.5000
Y 0.0000 0.5000 0.0000
Y 0.5000 0.0000 0.0000
Rh 0.0000 0.0000 0.5000
H 0.0000 0.0000 0.0000

Record 9
! ZnH8Rh2Pb (GGA-PBE, relaxed); values from VASP
! E_tot ... -3.78 eV per atom
&SYSTEM
  ibrav = 0, nat = 12, ntyp = 4
/
ATOMIC_SPECIES
Zn 65.41 Zn.upf
H 1.01 H.upf
Rh 102.91 Rh.upf
Pb 207.20 Pb.upf
CELL_PARAMETERS angstrom
4.7921 0.0000 0.0000
2.3960 4.1501 0.0000
2.3960 1.3834 5.8686
ATOMIC_POSITIONS crystal
Zn 0.0000 0.0000 0.0000
H 0.2068 0.2068 0.3796
H 0.6006 0.3566 0.1410
H 0.7932 0.7932 0.6204
H 0.9018 0.6006 0.1410
H 0.0982 0.3994 0.8590
H 0.3566 0.9018 0.1410
H 0.6434 0.0982 0.8590
H 0.3994 0.6434 0.8590
Rh 0.3025 0.3025 0.0926
Rh 0.6975 0.6975 0.9074
Pb 0.5000 0.5000 0.5000

Record 10
! ZnHRh2Pb (GGA-PBE, relaxed); values from VASP
! E_tot ... -4.63 eV per atom
! Fermi-level density of states ... 2.126 states/eV per cell
&SYSTEM
  ibrav = 0, nat = 5, ntyp = 4
/
ATOMIC_SPECIES
Pb 207.20 Pb.upf
H 1.01 H.upf
Zn 65.41 Zn.upf
Rh 102.91 Rh.upf
CELL_PARAMETERS angstrom
4.1798 0.0000 0.0000
0.0000 4.1798 0.0000
0.0000 0.0000 3.8951
ATOMIC_POSITIONS crystal
Pb 0.5000 0.5000 0.5000
H 0.0000 0.0000 0.0000
Zn 0.0000 0.0000 0.5000
Rh 0.0000 0.5000 0.0000
Rh 0.5000 0.0000 0.0000

Record 11
! H3RuPb (GGA-PBE, relaxed); values from VASP
! Energy above the most stable polymorph in this dataset ... 0.0 meV/atom
! Fermi-level density of states ... 0.318 states/eV per cell
&SYSTEM
  ibrav = 0, nat = 5, ntyp = 3
/
ATOMIC_SPECIES
Pb 207.20 Pb.upf
Ru 101.07 Ru.upf
H 1.01 H.upf
CELL_PARAMETERS angstrom
-0.9016 1.6150 3.2329
-3.0165 -2.1713 0.2434
1.9902 -2.5593 1.8336
ATOMIC_POSITIONS crystal
Pb 0.5000 0.5000 0.5000
Ru 0.0000 0.0000 0.0000
H 0.0000 0.5000 0.0000
H 0.0000 0.0000 0.5000
H 0.5000 0.0000 0.0000

Record 12
! H3RuPb (GGA-PBE, relaxed); values from VASP
! Energy above the most stable polymorph in this dataset ... 1171.9 meV/atom
! Fermi-level density of states ... 4.481 states/eV per cell
&SYSTEM
  ibrav = 0, nat = 5, ntyp = 3
/
ATOMIC_SPECIES
Pb 207.20 Pb.upf
Ru 101.07 Ru.upf
H 1.01 H.upf
CELL_PARAMETERS angstrom
4.0012 0.0000 0.0000
0.0000 4.0012 0.0000
0.0000 0.0000 4.0012
ATOMIC_POSITIONS crystal
Pb 0.0000 0.0000 0.0000
Ru 0.5000 0.5000 0.5000
H 0.0000 0.5000 0.0000
H 0.0000 0.0000 0.5000
H 0.5000 0.0000 0.0000

Record 13
! H2RuPb (GGA-PBE, relaxed); values from VASP
! Energy above the most stable polymorph in this dataset ... 0.0 meV/atom
! Fermi-level density of states ... 2.700 states/eV per cell
&SYSTEM
  ibrav = 0, nat = 8, ntyp = 3
/
ATOMIC_SPECIES
Pb 207.20 Pb.upf
Ru 101.07 Ru.upf
H 1.01 H.upf
CELL_PARAMETERS angstrom
-1.9154 2.2762 3.0060
-2.6535 -3.2091 0.7393
1.2226 -2.4972 5.6451
ATOMIC_POSITIONS crystal
Pb 0.0000 0.0000 0.0000
Pb 0.7500 0.2500 0.5000
Ru 0.5000 0.5000 0.0000
Ru 0.2500 0.7500 0.5000
H 0.3745 0.1250 0.2500
H 0.3755 0.6250 0.2500
H 0.3750 0.6255 0.7500
H 0.8750 0.6245 0.7500

Record 14
! HRuPb2 (GGA-PBE, relaxed); values from VASP
! Energy above the most stable polymorph in this dataset ... 81.0 meV/atom
! Fermi-level density of states ... 6.346 states/eV per cell
&SYSTEM
  ibrav = 0, nat = 8, ntyp = 3
/
ATOMIC_SPECIES
Pb 207.20 Pb.upf
Ru 101.07 Ru.upf
H 1.01 H.upf
CELL_PARAMETERS angstrom
5.4131 0.0000 0.0000
0.0000 5.4131 0.0000
2.7065 2.7065 6.2281
ATOMIC_POSITIONS crystal
Pb 0.5702 0.1250 0.2500
Pb 0.1798 0.6250 0.2500
Pb 0.3750 0.4298 0.7500
Pb 0.8750 0.8202 0.7500
Ru 0.0000 0.0000 0.0000
Ru 0.7500 0.2500 0.5000
H 0.5000 0.5000 0.0000
H 0.2500 0.7500 0.5000

Record 15
! HRu3Pb (GGA-PBE, relaxed); values from VASP
! Energy above the most stable polymorph in this dataset ... 0.0 meV/atom
! Fermi-level density of states ... 6.979 states/eV per cell
&SYSTEM
  ibrav = 0, nat = 5, ntyp = 3
/
ATOMIC_SPECIES
Pb 207.20 Pb.upf
Ru 101.07 Ru.upf
H 1.01 H.upf
CELL_PARAMETERS angstrom
-2.9799 1.9371 -1.9605
-2.1376 0.1981 3.4449
1.7396 3.5615 0.8747
ATOMIC_POSITIONS crystal
Pb 0.5000 0.5000 0.5000
Ru 0.0000 0.5000 0.0000
Ru 0.0000 0.0000 0.5000
Ru 0.5000 0.0000 0.0000
H 0.0000 0.0000 0.0000

Record 16
! HRu3Pb (GGA-PBE, relaxed); values from VASP
! Energy above the most stable polymorph in this dataset ... 2306.9 meV/atom
! Fermi-level density of states ... 6.814 states/eV per cell
&SYSTEM
  ibrav = 0, nat = 5, ntyp = 3
/
ATOMIC_SPECIES
Pb 207.20 Pb.upf
Ru 101.07 Ru.upf
H 1.01 H.upf
CELL_PARAMETERS angstrom
-3.0580 -0.8446 3.9428
2.1738 -4.5131 0.7192
3.3961 2.1283 3.0899
ATOMIC_POSITIONS crystal
Pb 0.0000 0.0000 0.0000
Ru 0.0000 0.5000 0.0000
Ru 0.0000 0.0000 0.5000
Ru 0.5000 0.0000 0.0000
H 0.5000 0.5000 0.5000

Record 17
! H7Ru2Pb (GGA-PBE, relaxed); values from VASP
! E_tot ... -4.39 eV per atom
! Fermi-level density of states ... 3.572 states/eV per cell
&SYSTEM
  ibrav = 0, nat = 10, ntyp = 3
/
ATOMIC_SPECIES
H 1.01 H.upf
Ru 101.07 Ru.upf
Pb 207.20 Pb.upf
CELL_PARAMETERS angstrom
-0.2970 -2.6125 2.1160
5.6907 0.7612 1.7385
-4.1260 2.2333 2.1783
ATOMIC_POSITIONS crystal
H 0.0000 0.3525 0.7050
H 0.0000 0.6475 0.2950
H 0.5000 0.3711 0.2851
H 0.5000 0.6289 0.7149
H 0.5000 0.0860 0.7149
H 0.5000 0.9140 0.2851
H 0.5000 0.5000 0.0000
Ru 0.5000 0.2868 0.5737
Ru 0.5000 0.7132 0.4263
Pb 0.0000 0.0000 0.0000

Record 18
! H4RuPb (GGA-PBE, relaxed); values from VASP
! E_tot ... -4.24 eV per atom
! Fermi-level density of states ... 1.299 states/eV per cell
&SYSTEM
  ibrav = 0, nat = 12, ntyp = 3
/
ATOMIC_SPECIES
H 1.01 H.upf
Ru 101.07 Ru.upf
Pb 207.20 Pb.upf
CELL_PARAMETERS angstrom
4.7459 0.0000 2.3030
0.1605 4.7679 -0.3308
-0.0031 -0.7357 6.0480
ATOMIC_POSITIONS crystal
H 0.7103 0.7647 0.5795
H 0.6084 0.5492 0.1931
H 0.7309 0.0000 0.0000
H 0.8015 0.4508 0.8069
H 0.2897 0.2353 0.4205
H 0.3916 0.4508 0.8069
H 0.2691 0.0000 0.0000
H 0.1985 0.5492 0.1931
Ru 0.5663 0.7211 0.8673
Ru 0.4337 0.2789 0.1327
Pb 0.8058 0.2214 0.3884
Pb 0.1942 0.7786 0.6116

Record 19
! H2RuPb (GGA-PBE, relaxed); values from VASP
! Energy above the most stable polymorph in this dataset ... 738.3 meV/atom
! Fermi-level density of states ... 1.954 states/eV per cell
&SYSTEM
  ibrav = 0, nat = 4, ntyp = 3
/
ATOMIC_SPECIES
Pb 207.20 Pb.upf
Ru 101.07 Ru.upf
H 1.01 H.upf
CELL_PARAMETERS angstrom
-0.4277 -1.5918 3.7017
-3.4381 -1.8938 1.0062
-0.0301 -4.0229 0.4844
ATOMIC_POSITIONS crystal
Pb 0.5000 0.5000 0.5000
Ru 0.0000 0.0000 0.0000
H 0.2500 0.2500 0.2500
H 0.7500 0.7500 0.7500

Record 20
! HRuPb2 (GGA-PBE, relaxed); values from VASP
! Energy above the most stable polymorph in this dataset ... 0.0 meV/atom
! Fermi-level density of states ... 4.377 states/eV per cell
&SYSTEM
  ibrav = 0, nat = 4, ntyp = 3
/
ATOMIC_SPECIES
Pb 207.20 Pb.upf
Ru 101.07 Ru.upf
H 1.01 H.upf
CELL_PARAMETERS angstrom
0.0000 3.3359 3.3359
3.3359 0.0000 3.3359
3.3359 3.3359 0.0000
ATOMIC_POSITIONS crystal
Pb 0.2500 0.2500 0.2500
Pb 0.7500 0.7500 0.7500
Ru 0.5000 0.5000 0.5000
H 0.0000 0.0000 0.0000

Record 21
! SbH2RuPb (GGA-PBE, relaxed); values from VASP
! E_tot ... -4.21 eV per atom
! Fermi-level density of states ... 3.896 states/eV per cell
&SYSTEM
  ibrav = 0, nat = 5, ntyp = 4
/
ATOMIC_SPECIES
Pb 207.20 Pb.upf
Sb 121.76 Sb.upf
H 1.01 H.upf
Ru 101.07 Ru.upf
CELL_PARAMETERS angstrom
-1.8306 -1.4493 -3.0096
5.1349 -0.8919 -2.6939
0.2079 -3.4747 1.5468
ATOMIC_POSITIONS crystal
Pb 0.0000 0.0000 0.0000
Sb 0.5000 0.5000 0.5000
H 0.0000 0.0000 0.5000
H 0.5000 0.0000 0.0000
Ru 0.0000 0.5000 0.0000

Record 22
! SnH6Ru2Pb (GGA-PBE, relaxed); values from VASP
! E_tot ... -4.51 eV per atom
! Fermi-level density of states ... 1.159 states/eV per cell
&SYSTEM
  ibrav = 0, nat = 20, ntyp = 4
/
ATOMIC_SPECIES
Sn 118.71 Sn.upf
H 1.01 H.upf
Ru 101.07 Ru.upf
Pb 207.20 Pb.upf
CELL_PARAMETERS angstrom
-6.8172 0.0263 -0.4389
1.2514 -2.4447 6.2550
1.4214 5.4432 0.2961
ATOMIC_POSITIONS crystal
Sn 0.7080 0.2920 0.2500
Sn 0.2920 0.7080 0.7500
H 0.0817 0.4497 0.1604
H 0.5503 0.9183 0.3396
H 0.9183 0.5503 0.8396
H 0.4497 0.0817 0.6604
H 0.2804 0.2454 0.1987
H 0.7546 0.7196 0.3013
H 0.7196 0.7546 0.8013
H 0.2454 0.2804 0.6987
H 0.3482 0.5133 0.4230
H 0.4867 0.6518 0.0770
H 0.6518 0.4867 0.5770
H 0.5133 0.3482 0.9230
Ru 0.3316 0.1234 0.8709
Ru 0.8766 0.6684 0.6291
Ru 0.6684 0.8766 0.1291
Ru 0.1234 0.3316 0.3709
Pb 0.1146 0.8854 0.2500
Pb 0.8854 0.1146 0.7500

Record 23
! Sr2H6RuPb (GGA-PBE, relaxed); values from VASP
! E_tot ... -4.01 eV per atom
! Fermi-level density of states ... 2.072 states/eV per cell
&SYSTEM
  ibrav = 0, nat = 10, ntyp = 4
/
ATOMIC_SPECIES
Sr 87.62 Sr.upf
H 1.01 H.upf
Ru 101.07 Ru.upf
Pb 207.20 Pb.upf
CELL_PARAMETERS angstrom
-1.2212 -2.3810 -6.2679
5.0121 -0.8735 -0.6447
-3.0068 -3.6553 1.9744
ATOMIC_POSITIONS crystal
Sr 0.1800 0.3333 0.6667
Sr 0.8200 0.6667 0.3333
H 0.8613 0.1620 0.3239
H 0.8613 0.1620 0.8380
H 0.8613 0.6761 0.8380
H 0.1387 0.8380 0.1620
H 0.1387 0.3239 0.1620
H 0.1387 0.8380 0.6761
Ru 0.0000 0.0000 0.0000
Pb 0.5000 0.0000 0.0000

Record 24
! H2RuPbW (GGA-PBE, relaxed); values from VASP
! E_tot ... -5.77 eV per atom
! Fermi-level density of states ... 3.160 states/eV per cell
&SYSTEM
  ibrav = 0, nat = 5, ntyp = 4
/
ATOMIC_SPECIES
Pb 207.20 Pb.upf
Ru 101.07 Ru.upf
W 183.84 W.upf
H 1.01 H.upf
CELL_PARAMETERS angstrom
3.7875 0.0000 0.0000
0.0000 4.9843 0.0000
0.0000 0.0000 3.7875
ATOMIC_POSITIONS crystal
Pb 0.5000 0.5000 0.5000
Ru 0.0000 0.5000 0.0000
W 0.0000 0.0000 0.0000
H 0.0000 0.0000 0.5000
H 0.5000 0.0000 0.0000

Record 25
! Y2HRuPb (GGA-PBE, relaxed); values from VASP
! E_tot ... -6.24 eV per atom
! Fermi-level density of states ... 2.905 states/eV per cell
&SYSTEM
  ibrav = 0, nat = 5, ntyp = 4
/
ATOMIC_SPECIES
Pb 207.20 Pb.upf
Ru 101.07 Ru.upf
Y 88.91 Y.upf
H 1.01 H.upf
CELL_PARAMETERS angstrom
5.0417 0.0000 0.0000
0.0000 5.0417 0.0000
0.0000 0.0000 3.8084
ATOMIC_POSITIONS crystal
Pb 0.5000 0.5000 0.5000
Ru 0.0000 0.0000 0.5000
Y 0.0000 0.5000 0.0000
Y 0.5000 0.0000 0.0000
H 0.0000 0.0000 0.0000